A plane-wave DFT calculation with PBE-GGA was carried out for a relaxed structure of BC.

Its crystal system is monoclinic. The value obtained for the formation energy is 0.9 eV/f.u. For the energy, the calculation gives -7.510 eV/atom.

abc: 4.7223 4.7223 4.7590
angles: 102.97 102.97 120.61
Closest atoms and distances in Å follow each position.
Fractional positions:
B  0.1885  0.8753  0.5750  2 C 1.62-1.70, 1 B 1.67
B  0.0138  0.6880  0.0303  1 C 1.60, 1 B 1.67
B  0.3753  0.6885  0.0750  2 C 1.62-1.70, 1 B 1.67
B  0.1880  0.5138  0.5303  1 C 1.60, 1 B 1.67
B  0.7811  0.1173  0.4955  3 C 1.59-1.65
B  0.6173  0.2811  0.9955  3 C 1.59-1.65
C  0.5101  0.4959  0.4997  3 C 1.55, 1 B 1.60
C  0.3776  0.3655  0.1375  2 C 1.55, 2 B 1.61-1.62
C  0.7577  0.0792  0.1369  1 C 1.55, 3 B 1.59-1.70
C  0.5792  0.2577  0.6369  1 C 1.55, 3 B 1.59-1.70
C  0.9959  0.0101  0.9997  3 C 1.55, 1 B 1.60
C  0.8655  0.8776  0.6375  2 C 1.55, 2 B 1.61-1.62

A plane-wave DFT calculation with PBE-GGA was carried out for a relaxed structure of B3C2.

Its crystal system is monoclinic. The value obtained for the formation energy is 2.2 eV/f.u. For the energy, the calculation gives -7.253 eV/atom.

abc: 5.0571 5.0571 7.0269
angles: 57.08 57.08 31.01
Closest atoms and distances in Å follow each position.
Fractional positions:
B  0.4589  0.4589  0.7445  3 C 1.57-1.62
B  0.1454  0.1454  0.8597  2 C 1.56
B  0.1748  0.1748  0.5872  1 C 1.66, 1 B 1.77
B  0.8252  0.8252  0.4128  1 C 1.66, 1 B 1.77
B  0.8546  0.8546  0.1403  2 C 1.56
B  0.5411  0.5411  0.2555  3 C 1.57-1.62
C  0.9955  0.9955  0.6114  1 C 1.52, 3 B 1.57-1.66
C  0.0045  0.0045  0.3886  1 C 1.52, 3 B 1.57-1.66
C  0.5919  0.5919  0.9928  3 B 1.56-1.62, 1 C 1.74
C  0.4081  0.4081  0.0072  3 B 1.56-1.62, 1 C 1.74

A plane-wave DFT calculation with PBE-GGA was carried out for a relaxed structure of BC.

Its crystal system is monoclinic. The value obtained for the formation energy is 0.6 eV/f.u. For the energy, the calculation gives -7.669 eV/atom.

abc: 2.6575 2.6575 15.1472
angles: 85.10 94.90 119.99
Closest atoms and distances in Å follow each position.
Fractional positions:
B  0.5275  0.4727  0.8465  1 C 1.56
B  0.8831  0.1170  0.9153  1 C 1.56
B  0.8247  0.1755  0.7348  3 C 1.54
B  0.0232  0.9766  0.3471  4 C 1.65-1.69
B  0.3954  0.6043  0.4668  3 C 1.54
B  0.2959  0.7041  0.1599  4 C 1.60-1.69
C  0.4940  0.5062  0.7431  4 B 1.54-1.56
C  0.6748  0.3250  0.3005  1 C 1.41
C  0.0587  0.9411  0.4564  4 B 1.54-1.65
C  0.6445  0.3555  0.2070  1 C 1.41
C  0.9167  0.0833  0.0189  1 B 1.56, 3 C 1.62
C  0.2613  0.7387  0.0537  1 B 1.60, 3 C 1.62

A plane-wave DFT calculation with PBE-GGA was carried out for a relaxed structure of BC.

Its crystal system is monoclinic. The value obtained for the formation energy is 0.8 eV/f.u. For the energy, the calculation gives -7.538 eV/atom.

abc: 6.3901 6.3901 5.3795
angles: 102.60 102.60 23.04
Closest atoms and distances in Å follow each position.
Fractional positions:
B  0.9248  0.9248  0.1899  3 B 1.68-1.81, 1 C 1.76
B  0.3193  0.3193  0.1344  1 C 1.58
B  0.2607  0.2607  0.4189  1 C 1.55
B  0.0282  0.0282  0.4506  2 C 1.53, 1 B 1.68
B  0.8992  0.8992  0.8055  3 C 1.55-1.61
B  0.6572  0.6572  0.3116  2 C 1.63-1.67, 2 B 1.82
C  0.0152  0.0152  0.9814  2 C 1.54, 1 B 1.55
C  0.5911  0.5911  0.5484  1 C 1.53, 3 B 1.53-1.67
C  0.3231  0.3231  0.7027  3 B 1.55-1.61, 1 C 1.57
C  0.2346  0.2346  0.8685  3 C 1.56-1.57, 1 B 1.58
C  0.6611  0.6611  0.8197  4 C 1.53-1.58
C  0.5855  0.5855  0.0184  3 C 1.54-1.58, 1 B 1.63

A plane-wave DFT calculation with PBE-GGA was carried out for a relaxed structure of BC.

Its crystal system is monoclinic. The value obtained for the formation energy is 0.8 eV/f.u. For the energy, the calculation gives -7.550 eV/atom.

abc: 6.4757 6.4757 5.2572
angles: 102.61 102.61 22.63
Closest atoms and distances in Å follow each position.
Fractional positions:
B  0.9254  0.9254  0.1849  1 C 1.69, 3 B 1.73-1.83
B  0.3203  0.3203  0.1582  2 C 1.59-1.69
B  0.0263  0.0263  0.4680  2 C 1.51
B  0.9132  0.9132  0.7874  1 C 1.55
B  0.6637  0.6637  0.3327  4 C 1.64-1.68
B  0.3145  0.3145  0.6687  2 C 1.62-1.63, 2 B 1.80
C  0.0194  0.0194  0.0021  2 C 1.52, 2 B 1.55-1.69
C  0.2479  0.2479  0.3687  4 B 1.59-1.64
C  0.5888  0.5888  0.5504  3 B 1.51-1.64, 1 C 1.58
C  0.2318  0.2318  0.8656  2 C 1.53, 2 B 1.63-1.69
C  0.6626  0.6626  0.8352  4 C 1.53-1.58
C  0.5862  0.5862  0.0282  3 C 1.52-1.55, 1 B 1.68

A plane-wave DFT calculation with PBE-GGA was carried out for a relaxed structure of BC.

Its crystal system is monoclinic. The value obtained for the formation energy is 0.6 eV/f.u. For the energy, the calculation gives -7.642 eV/atom.

abc: 4.7248 4.7248 7.9417
angles: 109.85 109.85 32.53
Closest atoms and distances in Å follow each position.
Fractional positions:
B  0.5159  0.5159  0.3610  2 C 1.60-1.73
B  0.2321  0.2321  0.2764  3 C 1.56-1.59
B  0.9523  0.9523  0.9430  3 C 1.53-1.57
B  0.6060  0.6060  0.7674  3 C 1.54-1.57
B  0.3228  0.3228  0.6685  4 C 1.66-1.69
B  0.9986  0.9986  0.5229  2 C 1.57-1.62
C  0.6900  0.6900  0.3540  1 C 1.53, 3 B 1.56-1.60
C  0.3496  0.3496  0.1684  2 C 1.51, 1 B 1.59
C  0.8776  0.8776  0.0940  2 C 1.51, 1 B 1.57
C  0.4799  0.4799  0.8608  4 B 1.53-1.68
C  0.1506  0.1506  0.6973  4 B 1.54-1.66
C  0.8247  0.8247  0.5362  1 C 1.53, 3 B 1.62-1.69

A plane-wave DFT calculation with PBE-GGA was carried out for a relaxed structure of BC.

Its crystal system is monoclinic. The value obtained for the formation energy is 0.9 eV/f.u. For the energy, the calculation gives -7.501 eV/atom.

abc: 6.3296 6.3296 5.3485
angles: 103.52 103.52 23.26
Closest atoms and distances in Å follow each position.
Fractional positions:
B  0.9146  0.9146  0.1863  3 C 1.66-1.78, 1 B 1.75
B  0.2578  0.2578  0.3458  1 C 1.54
B  0.0196  0.0196  0.4716  2 C 1.55
B  0.9178  0.9178  0.7667  1 C 1.53
B  0.6563  0.6563  0.3466  2 C 1.59-1.70
B  0.3159  0.3159  0.6794  1 C 1.59, 1 B 1.76
C  0.0168  0.0168  0.0016  2 C 1.52, 1 B 1.53
C  0.3265  0.3265  0.1418  3 B 1.54-1.66, 1 C 1.58
C  0.5878  0.5878  0.5634  1 C 1.54, 3 B 1.55-1.59
C  0.2381  0.2381  0.8758  3 C 1.57-1.58, 1 B 1.59
C  0.6629  0.6629  0.8391  4 C 1.54-1.57
C  0.5859  0.5859  0.0319  3 C 1.52-1.56, 1 B 1.70

A plane-wave DFT calculation with PBE-GGA was carried out for a relaxed structure of BC.

Its crystal system is monoclinic. The value obtained for the formation energy is 0.9 eV/f.u. For the energy, the calculation gives -7.491 eV/atom.

abc: 7.4161 7.1260 7.1260
angles: 158.51 143.52 42.50
Closest atoms and distances in Å follow each position.
Fractional positions:
B  0.0592  0.3472  0.7120  3 C 1.59-1.60
B  0.6492  0.2920  0.3573  4 B 1.73-1.83
B  0.4772  0.1639  0.3133  3 C 1.62-1.67, 1 B 1.76
B  0.6709  0.9802  0.6907  3 C 1.59-1.61
B  0.4228  0.8085  0.6142  1 C 1.55, 2 B 1.73
B  0.9810  0.6646  0.3164  4 C 1.63-1.67
C  0.1141  0.1168  0.9973  1 C 1.51, 3 B 1.62-1.67
C  0.0309  0.0050  0.0259  3 C 1.51-1.60, 1 B 1.59
C  0.0705  0.7848  0.2857  4 B 1.55-1.63
C  0.6106  0.6163  0.9942  1 C 1.50, 3 B 1.65-1.67
C  0.5070  0.5056  0.0013  2 C 1.50-1.55, 2 B 1.61
C  0.1566  0.4651  0.6915  3 C 1.55-1.60, 1 B 1.59

A plane-wave DFT calculation with PBE-GGA was carried out for a relaxed structure of B7C5.

Its crystal system is monoclinic. The value obtained for the formation energy is 5.3 eV/f.u. For the energy, the calculation gives -7.296 eV/atom.

abc: 6.0332 6.0332 6.0215
angles: 105.55 105.55 25.73
Closest atoms and distances in Å follow each position.
Fractional positions:
B  0.0263  0.0263  0.9597  3 C 1.57-1.59
B  0.8753  0.8753  0.2969  1 C 1.59, 2 B 1.74
B  0.3173  0.3173  0.1180  1 C 1.60, 3 B 1.74-1.76
B  0.2801  0.2801  0.3819  4 B 1.68-1.82
B  0.7087  0.7087  0.2435  1 C 1.58, 2 B 1.68
B  0.5527  0.5527  0.5967  3 C 1.57-1.61
B  0.3325  0.3325  0.6965  3 C 1.61-1.67
C  0.9838  0.9838  0.5243  3 B 1.57-1.59, 1 C 1.61
C  0.9198  0.9198  0.7292  3 B 1.59-1.67, 1 C 1.61
C  0.2420  0.2420  0.8532  2 C 1.60, 2 B 1.60-1.61
C  0.6658  0.6658  0.8208  3 C 1.60-1.68, 1 B 1.61
C  0.5957  0.5957  0.0292  3 B 1.57-1.58, 1 C 1.68

A plane-wave DFT calculation with PBE-GGA was carried out for a relaxed structure of B3C2.

Its crystal system is monoclinic. The value obtained for the formation energy is 1.1 eV/f.u. For the energy, the calculation gives -7.485 eV/atom.

abc: 4.7563 2.7451 6.9136
angles: 90.00 115.09 90.00
Closest atoms and distances in Å follow each position.
Fractional positions:
C  0.5873  0.0000  0.6876  4 B 1.50-1.60
C  0.5873  0.5000  0.1876  4 B 1.50-1.60
C  0.1000  0.0000  0.2325  4 B 1.51-1.65
C  0.1000  0.5000  0.7325  4 B 1.51-1.65
B  0.4184  0.0000  0.1929  3 C 1.60-1.65
B  0.4184  0.5000  0.6929  3 C 1.60-1.65
B  0.9286  0.0000  0.7116  3 C 1.56-1.57
B  0.9286  0.5000  0.2116  3 C 1.56-1.57
B  0.3433  0.0000  0.4611  2 C 1.50-1.51
B  0.3433  0.5000  0.9611  2 C 1.50-1.51

A plane-wave DFT calculation with PBE-GGA was carried out for a relaxed structure of BC9.

Its crystal system is trigonal. The value obtained for the formation energy is 2.1 eV/f.u. For the energy, the calculation gives -8.755 eV/atom.

abc: 10.6400 10.6400 10.6400
angles: 13.71 13.71 13.71
Closest atoms and distances in Å follow each position.
Fractional positions:
B  0.7988  0.7988  0.7988  4 C 1.62
C  0.1539  0.1539  0.1539  1 C 1.51, 3 B 1.62
C  0.6005  0.6005  0.6005  4 C 1.55
C  0.9502  0.9502  0.9502  4 C 1.55
C  0.3979  0.3979  0.3979  4 C 1.55-1.56
C  0.7476  0.7476  0.7476  3 C 1.56, 1 B 1.62
C  0.2015  0.2015  0.2015  4 C 1.51-1.56
C  0.5516  0.5516  0.5516  4 C 1.55-1.56
C  0.9992  0.9992  0.9992  4 C 1.55
C  0.3488  0.3488  0.3488  4 C 1.55

Q: energy of number 8 (BC)?
A: -7.491 eV/atom